Record 1
The following is a PBE calculation of a geometry-optimized HoPuBi structure, from OQMD via LeMat-Bulk.

Geometry as POSCAR:
```
HoPuBi
1.0
0.0000 3.7049 3.7049
3.7049 0.0000 3.7049
3.7049 3.7049 0.0000
Ho Pu Bi
1 1 1
Direct
0.0000 0.0000 0.0000
0.2500 0.2500 0.2500
0.7500 0.7500 0.7500
```

Electronic total energy, eV per atom: -7.467

=====

Record 2
The following is a PBE calculation of a geometry-optimized LuSiNiMo structure, from OQMD via LeMat-Bulk.

Geometry as POSCAR:
```
LuSiNiMo
1.0
0.0000 3.1323 3.1323
3.1323 0.0000 3.1323
3.1323 3.1323 0.0000
Lu Si Ni Mo
1 1 1 1
Direct
0.0000 0.0000 0.0000
0.5000 0.5000 0.5000
0.7500 0.7500 0.7500
0.2500 0.2500 0.2500
```

Electronic total energy, eV per atom: -6.636
ΔE to the lowest computed polymorph, meV/atom: 0

=====

Record 3
The following is a PBE calculation of a geometry-optimized TlB4Mo3 structure, from OQMD via LeMat-Bulk.

Geometry as POSCAR:
```
TlB4Mo3
1.0
3.0563 0.0000 0.0000
0.0000 3.1431 0.0000
0.0000 0.0000 9.6777
Tl B Mo
1 4 3
Direct
0.0000 0.0000 0.0000
0.0000 0.0000 0.3086
0.0000 0.0000 0.6914
0.5000 0.0000 0.4042
0.5000 0.0000 0.5958
0.0000 0.5000 0.5000
0.5000 0.5000 0.2353
0.5000 0.5000 0.7647
```

Electronic total energy, eV per atom: -7.846